GdZnAu | GGA-PBE | relaxed

Cell: 4.602 4.602 4.602 Å, 60.00 60.00 60.00°
Positions (direct):
Gd 0.000 0.000 0.000
Zn 0.750 0.750 0.750
Au 0.500 0.500 0.500

Space group: F-43m, No. 216
Energy of formation, kJ/mol of atoms: -35.99



LuCdGaFe | GGA-PBE | relaxed

Cell: 4.715 4.715 4.715 Å, 60.00 60.00 60.00°
Positions (direct):
Lu 0.000 0.000 0.000
Cd 0.750 0.750 0.750
Ga 0.250 0.250 0.250
Fe 0.500 0.500 0.500

Space group: F-43m, No. 216
Polymorph energy (0 for the lowest one), eV/f.u.: 0.000



K2FeCoCl6 | GGA-PBE | relaxed

Cell: 6.841 6.841 6.841 Å, 60.00 60.00 60.00°
Positions (direct):
K 0.250 0.250 0.250
K 0.750 0.750 0.750
Fe 0.000 0.000 0.000
Co 0.500 0.500 0.500
Cl 0.251 0.251 0.749
Cl 0.251 0.749 0.251
Cl 0.251 0.749 0.749
Cl 0.749 0.251 0.251
Cl 0.749 0.251 0.749
Cl 0.749 0.749 0.251

Space group: Fm-3m, No. 225



H2Pd | GGA-PBE | relaxed

Cell: 4.068 4.068 4.068 Å, 60.00 60.00 60.00°
Positions (direct):
H 0.000 0.000 0.000
H 0.000 0.000 0.500
H 0.000 0.500 0.000
H 0.500 0.000 0.000
Pd 0.375 0.375 0.375
Pd 0.625 0.625 0.625

Space group: Fd-3m, No. 227



Lu2In | GGA-PBE | relaxed

Cell: 5.066 5.066 5.066 Å, 60.00 60.00 60.00°
Positions (direct):
Lu 0.250 0.250 0.250
Lu 0.750 0.750 0.750
In 0.000 0.000 0.000

Space group: Fm-3m, No. 225



ZrH3 | GGA-PBE | relaxed

Cell: 6.809 6.809 6.809 Å, 51.45 51.45 51.45°
Positions (direct):
Zr 0.080 0.751 0.417
Zr 0.249 0.583 0.920
Zr 0.417 0.080 0.751
Zr 0.583 0.920 0.249
Zr 0.751 0.417 0.080
Zr 0.920 0.249 0.583
H 0.051 0.356 0.691
H 0.099 0.099 0.099
H 0.113 0.499 0.794
H 0.206 0.887 0.501
H 0.270 0.270 0.270
H 0.309 0.949 0.644
H 0.356 0.691 0.051
H 0.429 0.429 0.429
H 0.499 0.794 0.113
H 0.501 0.206 0.887
H 0.571 0.571 0.571
H 0.644 0.309 0.949
H 0.691 0.051 0.356
H 0.730 0.730 0.730
H 0.794 0.113 0.499
H 0.887 0.501 0.206
H 0.901 0.901 0.901
H 0.949 0.644 0.309

Space group: R-3, No. 148



Across the entries above, total DFT energy (no corrections) takes the values -3.43 -4.23 -4.00 -3.08 -3.99 -5.05 eV/atom, respectively.